[1]
# Al2CuAg PBE-GGA optimized geometry
# Polymorph energy (0 for the lowest one)   49.6 meV per atom
# Raw total energy   -3.637 eV/atom
# Energy relative to the elements   -0.03 eV/atom
data_Al2CuAg
_cell_length_a 5.7803
_cell_length_b 7.3963
_cell_length_c 2.8744
_cell_angle_alpha 90.00
_cell_angle_beta 90.00
_cell_angle_gamma 90.00
_space_group_name_H-M_alt 'C m m m'
_space_group_IT_number 65
_space_group_name_Hall '-C 2 2'
loop_
_atom_site_label
_atom_site_fract_x
_atom_site_fract_y
_atom_site_fract_z
Al1 0.2500 0.2500 0.0000
Cu1 0.0000 0.0000 0.5000
Ag1 0.0000 0.5000 0.5000

***

[2]
# AlCu2Ag2 PBE-GGA optimized geometry
# Polymorph energy (0 for the lowest one)   106.9 meV per atom
# Raw total energy   -3.357 eV/atom
# Energy relative to the elements   0.17 eV/atom
data_AlCu2Ag2
_cell_length_a 7.0947
_cell_length_b 7.0947
_cell_length_c 3.1763
_cell_angle_alpha 90.00
_cell_angle_beta 90.00
_cell_angle_gamma 90.00
_space_group_name_H-M_alt 'P 4/m b m'
_space_group_IT_number 127
_space_group_name_Hall '-P 4 2ab'
loop_
_atom_site_label
_atom_site_fract_x
_atom_site_fract_y
_atom_site_fract_z
Al1 0.0000 0.0000 0.0000
Cu1 0.1566 0.3434 0.5000
Ag1 0.1422 0.6422 0.0000

***

[3]
# AlCu2Ag PBE-GGA optimized geometry
# Raw total energy   -3.774 eV/atom
# Energy relative to the elements   -0.08 eV/atom
data_AlCu2Ag
_cell_length_a 3.6110
_cell_length_b 3.9309
_cell_length_c 7.9566
_cell_angle_alpha 90.00
_cell_angle_beta 90.00
_cell_angle_gamma 90.00
_space_group_name_H-M_alt 'I m m 2'
_space_group_IT_number 44
loop_
_space_group_symop_operation_xyz
'x,y,z'
'-x,-y,z'
'-x,y,z'
'x,-y,z'
'x+1/2,y+1/2,z+1/2'
'-x+1/2,-y+1/2,z+1/2'
'-x+1/2,y+1/2,z+1/2'
'x+1/2,-y+1/2,z+1/2'
loop_
_atom_site_label
_atom_site_fract_x
_atom_site_fract_y
_atom_site_fract_z
Al1 0.0000 0.0000 0.0000
Cu1 0.0000 0.0000 0.4907
Cu2 0.0000 0.5000 0.7463
Ag1 0.0000 0.5000 0.2454